No. 1
# La4NdPb5 (GGA-PBE, relaxed)
# * mass density: 9190 kg/m3
# * final energy: -4.87 eV per atom
# * DFT formation energy: -0.57 eV/atom
data_La4NdPb5
_cell_length_a 3.674
_cell_length_b 3.674
_cell_length_c 23.233
_cell_angle_alpha 90.00
_cell_angle_beta 90.00
_cell_angle_gamma 90.00
_symmetry_space_group_name_H-M 'P 4/m m m'
_symmetry_Int_Tables_number 123
_symmetry_space_group_name_Hall '-P 4 2'
loop_
_atom_site_label
_atom_site_type_symbol
_atom_site_fract_x
_atom_site_fract_y
_atom_site_fract_z
La1 La 0.000 0.000 0.101
La2 La 0.000 0.000 0.301
Nd1 Nd 0.000 0.000 0.500
Pb1 Pb 0.500 0.500 0.000
Pb2 Pb 0.500 0.500 0.201
Pb3 Pb 0.500 0.500 0.402

No. 2
# Cs3NaNp2O9 (GGA-PBE, relaxed)
# * mass density: 6307 kg/m3
# * ΔE_f (raw): -2.283 eV per atom
# * final energy: -7.24 eV per atom
data_Cs3NaNp2O9
_cell_length_a 6.3451
_cell_length_b 6.3451
_cell_length_c 7.8508
_cell_angle_alpha 90.00
_cell_angle_beta 90.00
_cell_angle_gamma 120.00
_symmetry_space_group_name_H-M 'P -3 m 1'
_symmetry_Int_Tables_number 164
_symmetry_space_group_name_Hall '-P 3 2"'
loop_
_atom_site_label
_atom_site_type_symbol
_atom_site_fract_x
_atom_site_fract_y
_atom_site_fract_z
Cs1 Cs 0.0000 0.0000 0.0000
Cs2 Cs 0.3333 0.6667 0.6483
Na1 Na 0.0000 0.0000 0.5000
Np1 Np 0.3333 0.6667 0.1507
O1 O 0.0000 0.5000 0.0000
O2 O 0.1891 0.3782 0.2949

No. 3
# Ca2InCo (GGA-PBE, relaxed)
# * mass density: 4099 kg/m3
# * final energy: -3.44 eV per atom
# * DFT formation energy: 0.03 eV/atom
data_Ca2InCo
_cell_length_a 3.488
_cell_length_b 3.488
_cell_length_c 8.456
_cell_angle_alpha 90.00
_cell_angle_beta 90.00
_cell_angle_gamma 90.00
_symmetry_space_group_name_H-M 'P 4 m m'
_symmetry_Int_Tables_number 99
loop_
_symmetry_equiv_pos_as_xyz
'x,y,z'
'-y,x,z'
'-x,-y,z'
'y,-x,z'
'-x,y,z'
'y,x,z'
'x,-y,z'
'-y,-x,z'
loop_
_atom_site_label
_atom_site_type_symbol
_atom_site_fract_x
_atom_site_fract_y
_atom_site_fract_z
Ca1 Ca 0.000 0.000 0.000
Ca2 Ca 0.500 0.500 0.380
In1 In 0.500 0.500 0.742
Co1 Co 0.000 0.000 0.605

No. 4
# Mg2Sc2Zn (GGA-PBE, relaxed)
# * mass density: 2798 kg/m3
# * final energy: -3.25 eV per atom
# * energy above the lowest structure with this stoichiometry: 1.36 eV/f.u.
# * DFT formation energy: 0.17 eV/atom
data_Mg2Sc2Zn
_cell_length_a 7.244
_cell_length_b 7.244
_cell_length_c 4.612
_cell_angle_alpha 90.00
_cell_angle_beta 90.00
_cell_angle_gamma 90.00
_symmetry_space_group_name_H-M 'P 4/m b m'
_symmetry_Int_Tables_number 127
_symmetry_space_group_name_Hall '-P 4 2ab'
loop_
_atom_site_label
_atom_site_type_symbol
_atom_site_fract_x
_atom_site_fract_y
_atom_site_fract_z
Mg1 Mg 0.153 0.347 0.000
Sc1 Sc 0.148 0.648 0.500
Zn1 Zn 0.000 0.000 0.500

No. 5
# PaNbFeC3 (GGA-PBE, relaxed)
# * mass density: 8706 kg/m3
# * final energy: -9.46 eV per atom
# * DFT formation energy: -0.18 eV/atom
data_PaNbFeC3
_cell_length_a 6.885
_cell_length_b 3.251
_cell_length_c 7.262
_cell_angle_alpha 90.00
_cell_angle_beta 102.64
_cell_angle_gamma 90.00
_symmetry_space_group_name_H-M 'P 1 21/m 1'
_symmetry_Int_Tables_number 11
loop_
_symmetry_equiv_pos_as_xyz
'x,y,z'
'-x,-y,-z'
'-x,y+1/2,-z'
'x,-y+1/2,z'
loop_
_atom_site_label
_atom_site_type_symbol
_atom_site_fract_x
_atom_site_fract_y
_atom_site_fract_z
Pa1 Pa 0.179 0.250 0.200
Nb1 Nb 0.348 0.750 0.851
Fe1 Fe 0.101 0.250 0.601
C1 C 0.119 0.250 0.864
C2 C 0.179 0.750 0.515
C3 C 0.424 0.750 0.160

No. 6
# MnZnSeBr2 (GGA-PBE, relaxed)
# * mass density: 4978 kg/m3
# * ΔE_f (raw): 0.191 eV per atom
# * final energy: -3.26 eV per atom
# * energy above the lowest structure with this stoichiometry: 0.42 eV/f.u.
data_MnZnSeBr2
_cell_length_a 5.146
_cell_length_b 5.146
_cell_length_c 4.524
_cell_angle_alpha 90.00
_cell_angle_beta 90.00
_cell_angle_gamma 90.00
_symmetry_space_group_name_H-M 'P 4/m m m'
_symmetry_Int_Tables_number 123
_symmetry_space_group_name_Hall '-P 4 2'
loop_
_atom_site_label
_atom_site_type_symbol
_atom_site_fract_x
_atom_site_fract_y
_atom_site_fract_z
Mn1 Mn 0.000 0.000 0.000
Zn1 Zn 0.500 0.500 0.500
Se1 Se 0.000 0.000 0.500
Br1 Br 0.000 0.500 0.000

No. 7
# RbNa2Pb9 (GGA-PBE, relaxed)
# * mass density: 7822 kg/m3
# * final energy: -3.16 eV per atom
# * DFT formation energy: -0.08 eV/atom
data_RbNa2Pb9
_cell_length_a 6.8347
_cell_length_b 6.8347
_cell_length_c 31.4272
_cell_angle_alpha 90.00
_cell_angle_beta 90.00
_cell_angle_gamma 120.00
_symmetry_space_group_name_H-M 'R -3 m'
_symmetry_Int_Tables_number 166
_symmetry_space_group_name_Hall '-R 3 2"'
loop_
_atom_site_label
_atom_site_type_symbol
_atom_site_fract_x
_atom_site_fract_y
_atom_site_fract_z
Rb1 Rb 0.0000 0.0000 0.0000
Na1 Na 0.0000 0.0000 0.1390
Pb1 Pb 0.0000 0.0000 0.3386
Pb2 Pb 0.0000 0.0000 0.5000
Pb3 Pb 0.0107 0.5054 0.9129

No. 8
# Cr2IrPt (GGA-PBE, relaxed)
# * mass density: 15069 kg/m3
# * final energy: -8.58 eV per atom
# * DFT formation energy: -0.04 eV/atom
data_Cr2IrPt
_cell_length_a 2.6897
_cell_length_b 2.6897
_cell_length_c 25.9249
_cell_angle_alpha 90.00
_cell_angle_beta 90.00
_cell_angle_gamma 120.00
_symmetry_space_group_name_H-M 'R -3 m'
_symmetry_Int_Tables_number 166
_symmetry_space_group_name_Hall '-R 3 2"'
loop_
_atom_site_label
_atom_site_type_symbol
_atom_site_fract_x
_atom_site_fract_y
_atom_site_fract_z
Cr1 Cr 0.0000 0.0000 0.2478
Ir1 Ir 0.0000 0.0000 0.5000
Pt1 Pt 0.0000 0.0000 0.0000

No. 9
# CaLa6Er2 (GGA-PBE, relaxed)
# * mass density: 5138 kg/m3
# * final energy: -4.06 eV per atom
# * DFT formation energy: 0.46 eV/atom
data_CaLa6Er2
_cell_length_a 6.1707
_cell_length_b 6.1707
_cell_length_c 11.8393
_cell_angle_alpha 90.00
_cell_angle_beta 90.00
_cell_angle_gamma 120.00
_symmetry_space_group_name_H-M 'P -3 1 m'
_symmetry_Int_Tables_number 162
_symmetry_space_group_name_Hall '-P 3 2'
loop_
_atom_site_label
_atom_site_type_symbol
_atom_site_fract_x
_atom_site_fract_y
_atom_site_fract_z
Ca1 Ca 0.0000 0.0000 0.0000
La1 La 0.0000 0.3171 0.2715
Er1 Er 0.3333 0.6667 0.5000

No. 10
# Zr2MnI2 (GGA-PBE, relaxed)
# * mass density: 6324 kg/m3
# * ΔE_f (raw): 0.304 eV per atom
# * final energy: -5.57 eV per atom
# * energy above the lowest structure with this stoichiometry: 0.00 eV/f.u.
data_Zr2MnI2
_cell_length_a 7.179
_cell_length_b 7.179
_cell_length_c 5.005
_cell_angle_alpha 90.00
_cell_angle_beta 90.00
_cell_angle_gamma 90.00
_symmetry_space_group_name_H-M 'P 4/m b m'
_symmetry_Int_Tables_number 127
_symmetry_space_group_name_Hall '-P 4 2ab'
loop_
_atom_site_label
_atom_site_type_symbol
_atom_site_fract_x
_atom_site_fract_y
_atom_site_fract_z
Zr1 Zr 0.175 0.325 0.000
Mn1 Mn 0.000 0.000 0.000
I1 I 0.173 0.673 0.500

No. 11
# Pm3N2Cl2 (GGA-PBE, relaxed)
# * mass density: 5729 kg/m3
# * ΔE_f (raw): -1.700 eV per atom
# * final energy: -6.64 eV per atom
data_Pm3N2Cl2
_cell_length_a 3.571
_cell_length_b 6.346
_cell_length_c 7.220
_cell_angle_alpha 80.51
_cell_angle_beta 89.97
_cell_angle_gamma 73.73
_symmetry_space_group_name_H-M 'P -1'
_symmetry_Int_Tables_number 2
loop_
_symmetry_equiv_pos_as_xyz
'x,y,z'
'-x,-y,-z'
loop_
_atom_site_label
_atom_site_type_symbol
_atom_site_fract_x
_atom_site_fract_y
_atom_site_fract_z
Pm1 Pm 0.000 0.000 0.000
Pm2 Pm 0.228 0.546 0.793
N1 N 0.364 0.272 0.066
Cl1 Cl 0.124 0.753 0.378

No. 12
# CaMnCr2 (GGA-PBE, relaxed)
# * mass density: 4535 kg/m3
# * final energy: -6.85 eV per atom
# * energy above the lowest structure with this stoichiometry: 1.25 eV/f.u.
# * DFT formation energy: 0.75 eV/atom
data_CaMnCr2
_cell_length_a 4.573
_cell_length_b 4.573
_cell_length_c 3.485
_cell_angle_alpha 90.00
_cell_angle_beta 90.00
_cell_angle_gamma 90.00
_symmetry_space_group_name_H-M 'P 4/m m m'
_symmetry_Int_Tables_number 123
_symmetry_space_group_name_Hall '-P 4 2'
loop_
_atom_site_label
_atom_site_type_symbol
_atom_site_fract_x
_atom_site_fract_y
_atom_site_fract_z
Ca1 Ca 0.000 0.000 0.000
Mn1 Mn 0.500 0.500 0.000
Cr1 Cr 0.000 0.500 0.500

No. 13
# ScBeRu2I (GGA-PBE, relaxed)
# * mass density: 7367 kg/m3
# * ΔE_f (raw): 0.422 eV per atom
# * final energy: -5.61 eV per atom
data_ScBeRu2I
_cell_length_a 4.259
_cell_length_b 4.259
_cell_length_c 4.759
_cell_angle_alpha 90.00
_cell_angle_beta 90.00
_cell_angle_gamma 90.00
_symmetry_space_group_name_H-M 'P 4/m m m'
_symmetry_Int_Tables_number 123
_symmetry_space_group_name_Hall '-P 4 2'
loop_
_atom_site_label
_atom_site_type_symbol
_atom_site_fract_x
_atom_site_fract_y
_atom_site_fract_z
Sc1 Sc 0.000 0.000 0.000
Be1 Be 0.000 0.000 0.500
Ru1 Ru 0.000 0.500 0.500
I1 I 0.500 0.500 0.000

No. 14
# SmPd3O4 (GGA-PBE, relaxed)
# * mass density: 8572 kg/m3
# * ΔE_f (raw): -1.309 eV per atom
# * final energy: -6.33 eV per atom
data_SmPd3O4
_cell_length_a 5.913
_cell_length_b 5.913
_cell_length_c 5.913
_cell_angle_alpha 90.00
_cell_angle_beta 90.00
_cell_angle_gamma 90.00
_symmetry_space_group_name_H-M 'P m -3 n'
_symmetry_Int_Tables_number 223
_symmetry_space_group_name_Hall '-P 4n 2 3'
loop_
_atom_site_label
_atom_site_type_symbol
_atom_site_fract_x
_atom_site_fract_y
_atom_site_fract_z
Sm1 Sm 0.000 0.000 0.000
Pd1 Pd 0.000 0.250 0.500
O1 O 0.250 0.250 0.250

No. 15
# Pr5HoTm4 (GGA-PBE, relaxed)
# * mass density: 7611 kg/m3
# * final energy: -4.34 eV per atom
# * energy above the lowest structure with this stoichiometry: 2.12 eV/f.u.
# * DFT formation energy: 0.29 eV/atom
data_Pr5HoTm4
_cell_length_a 10.314
_cell_length_b 10.314
_cell_length_c 6.338
_cell_angle_alpha 90.00
_cell_angle_beta 90.00
_cell_angle_gamma 90.00
_symmetry_space_group_name_H-M 'I 4'
_symmetry_Int_Tables_number 79
loop_
_symmetry_equiv_pos_as_xyz
'x,y,z'
'-y,x,z'
'-x,-y,z'
'y,-x,z'
'x+1/2,y+1/2,z+1/2'
'-y+1/2,x+1/2,z+1/2'
'-x+1/2,-y+1/2,z+1/2'
'y+1/2,-x+1/2,z+1/2'
loop_
_atom_site_label
_atom_site_type_symbol
_atom_site_fract_x
_atom_site_fract_y
_atom_site_fract_z
Pr1 Pr 0.000 0.000 0.000
Pr2 Pr 0.147 0.234 0.731
Ho1 Ho 0.000 0.000 0.460
Tm1 Tm 0.048 0.347 0.236

No. 16
# AcEr4Mg5 (GGA-PBE, relaxed)
# * mass density: 5986 kg/m3
# * final energy: -3.09 eV per atom
# * DFT formation energy: -0.06 eV/atom
data_AcEr4Mg5
_cell_length_a 3.817
_cell_length_b 3.817
_cell_length_c 19.373
_cell_angle_alpha 90.00
_cell_angle_beta 90.00
_cell_angle_gamma 90.00
_symmetry_space_group_name_H-M 'P 4/m m m'
_symmetry_Int_Tables_number 123
_symmetry_space_group_name_Hall '-P 4 2'
loop_
_atom_site_label
_atom_site_type_symbol
_atom_site_fract_x
_atom_site_fract_y
_atom_site_fract_z
Ac1 Ac 0.000 0.000 0.000
Er1 Er 0.000 0.000 0.215
Er2 Er 0.000 0.000 0.405
Mg1 Mg 0.500 0.500 0.121
Mg2 Mg 0.500 0.500 0.309
Mg3 Mg 0.500 0.500 0.500

No. 17
# LiTiPt (GGA-PBE, relaxed)
# * mass density: 9486 kg/m3
# * final energy: -5.81 eV per atom
# * energy above the lowest structure with this stoichiometry: 0.36 eV/f.u.
# * DFT formation energy: -0.53 eV/atom
data_LiTiPt
_cell_length_a 4.2961
_cell_length_b 4.2961
_cell_length_c 2.7366
_cell_angle_alpha 90.00
_cell_angle_beta 90.00
_cell_angle_gamma 120.00
_symmetry_space_group_name_H-M 'P 3 m 1'
_symmetry_Int_Tables_number 156
loop_
_symmetry_equiv_pos_as_xyz
'x,y,z'
'-y,x-y,z'
'-x+y,-x,z'
'-y,-x,z'
'-x+y,y,z'
'x,x-y,z'
loop_
_atom_site_label
_atom_site_type_symbol
_atom_site_fract_x
_atom_site_fract_y
_atom_site_fract_z
Li1 Li 0.0000 0.0000 0.0000
Ti1 Ti 0.6667 0.3333 0.6623
Pt1 Pt 0.3333 0.6667 0.2906

No. 18
# Li6Zn2Pd (GGA-PBE, relaxed)
# * mass density: 3204 kg/m3
# * final energy: -2.32 eV per atom
# * energy above the lowest structure with this stoichiometry: 0.38 eV/f.u.
# * DFT formation energy: -0.18 eV/atom
data_Li6Zn2Pd
_cell_length_a 7.252
_cell_length_b 14.120
_cell_length_c 2.860
_cell_angle_alpha 90.00
_cell_angle_beta 99.27
_cell_angle_gamma 90.00
_symmetry_space_group_name_H-M 'C 1 2/m 1'
_symmetry_Int_Tables_number 12
loop_
_symmetry_equiv_pos_as_xyz
'x,y,z'
'-x,-y,-z'
'-x,y,-z'
'x,-y,z'
'x+1/2,y+1/2,z'
'-x+1/2,-y+1/2,-z'
'-x+1/2,y+1/2,-z'
'x+1/2,-y+1/2,z'
loop_
_atom_site_label
_atom_site_type_symbol
_atom_site_fract_x
_atom_site_fract_y
_atom_site_fract_z
Li1 Li 0.171 0.172 0.341
Li2 Li 0.189 0.000 0.857
Zn1 Zn 0.000 0.343 0.000
Pd1 Pd 0.000 0.500 0.500

No. 19
# Zn3CuAu2 (GGA-PBE, relaxed)
# * mass density: 11774 kg/m3
# * final energy: -2.52 eV per atom
# * energy above the lowest structure with this stoichiometry: 0.37 eV/f.u.
# * DFT formation energy: -0.11 eV/atom
data_Zn3CuAu2
_cell_length_a 5.566
_cell_length_b 8.638
_cell_length_c 15.341
_cell_angle_alpha 90.00
_cell_angle_beta 90.00
_cell_angle_gamma 90.00
_symmetry_space_group_name_H-M 'F m m m'
_symmetry_Int_Tables_number 69
_symmetry_space_group_name_Hall '-F 2 2'
loop_
_atom_site_label
_atom_site_type_symbol
_atom_site_fract_x
_atom_site_fract_y
_atom_site_fract_z
Zn1 Zn 0.000 0.000 0.172
Zn2 Zn 0.000 0.246 0.415
Cu1 Cu 0.000 0.000 0.334
Au1 Au 0.248 0.000 0.000
Au2 Au 0.250 0.250 0.250

No. 20
# HfGa3Cl (GGA-PBE, relaxed)
# * mass density: 6260 kg/m3
# * ΔE_f (raw): 0.548 eV per atom
# * final energy: -3.63 eV per atom
# * energy above the lowest structure with this stoichiometry: 0.15 eV/f.u.
data_HfGa3Cl
_cell_length_a 4.824
_cell_length_b 4.824
_cell_length_c 4.824
_cell_angle_alpha 90.00
_cell_angle_beta 90.00
_cell_angle_gamma 90.00
_symmetry_space_group_name_H-M 'P m -3 m'
_symmetry_Int_Tables_number 221
_symmetry_space_group_name_Hall '-P 4 2 3'
loop_
_atom_site_label
_atom_site_type_symbol
_atom_site_fract_x
_atom_site_fract_y
_atom_site_fract_z
Hf1 Hf 0.000 0.000 0.000
Ga1 Ga 0.000 0.500 0.500
Cl1 Cl 0.500 0.500 0.500